Computed, not measured: a relaxed Dy2TmTi crystal at the PBE level of DFT.

E above lowest polymorph (eV/f.u.): 0.13
Crystal system: tetragonal
Magnetic moment (μB per formula unit): 0.243
E_form (kJ/mol of formula units): 76

a = 4.725 Å, b = 4.771 Å, c = 4.771 Å
α = 90.00°, β = 90.00°, γ = 90.00°
Atoms (fractional coordinates):
Dy 0.000 0.000 0.500
Tm 0.500 0.500 0.500
Dy 0.000 0.500 0.000
Ti 0.500 0.000 0.000